#one
First-principles (SCAN) data for a crystal of CsSbP2Cl relaxed with PBEsol, as listed in Alexandria.

a b c (Å): 5.0415 5.0415 5.8194
angles (deg): 90.00 90.00 90.00
Space group P4/mmm (No. 123)
Inequivalent atoms, fractional coordinates:
Cs: 0.0000 0.0000 0.0000 (multiplicity 1)
Sb: 0.5000 0.5000 0.5000 (multiplicity 1)
P: 0.0000 0.5000 0.5000 (multiplicity 2)
Cl: 0.5000 0.5000 0.0000 (multiplicity 1)

Results
Theoretical density (Mg/m³): 4.0
Calculated volume (Å³/atom): 29.582



#two
First-principles (SCAN) data for a crystal of CsSbP2Cl relaxed with PBEsol, as listed in Alexandria.

a b c (Å): 5.3531 5.3531 5.6265
angles (deg): 90.00 90.00 90.00
Space group P4/mmm (No. 123)
Inequivalent atoms, fractional coordinates:
Cs: 0.0000 0.0000 0.0000 (multiplicity 1)
Sb: 0.5000 0.5000 0.5000 (multiplicity 1)
P: 0.0000 0.5000 0.0000 (multiplicity 2)
Cl: 0.0000 0.0000 0.5000 (multiplicity 1)

Results
Theoretical density (Mg/m³): 3.6
Calculated volume (Å³/atom): 32.246



Relative to the most stable one, in eV/atom, the structures come out at #one 0.000; #two 1.527.



#one
First-principles (SCAN) data for a crystal of Cu3Cl relaxed with PBEsol, as listed in Alexandria.

a b c (Å): 3.0394 3.0394 5.7711
angles (deg): 90.00 90.00 90.00
Space group P4/mmm (No. 123)
Inequivalent atoms, fractional coordinates:
Cu: 0.0000 0.0000 0.0000 (multiplicity 1)
Cu: 0.5000 0.5000 0.2141 (multiplicity 2)
Cl: 0.0000 0.0000 0.5000 (multiplicity 1)

Results
Theoretical density (Mg/m³): 7.0
Calculated volume (Å³/atom): 13.328



#two
First-principles (SCAN) data for a crystal of Cu3Cl relaxed with PBEsol, as listed in Alexandria.

a b c (Å): 3.2074 3.4688 5.1418
angles (deg): 90.00 90.00 90.00
Space group Pmm2 (No. 25)
Inequivalent atoms, fractional coordinates:
Cu: 0.0000 0.0000 0.0000 (multiplicity 1)
Cu: 0.0000 0.5000 0.3199 (multiplicity 1)
Cu: 0.5000 0.5000 0.9472 (multiplicity 1)
Cl: 0.5000 0.0000 0.5753 (multiplicity 1)

Results
Theoretical density (Mg/m³): 6.6
Calculated volume (Å³/atom): 14.302



Relative to the most stable one, in eV/atom, the structures come out at #one 0.000; #two 0.033.



#one
First-principles (SCAN) data for a crystal of FeCu2Cl relaxed with PBEsol, as listed in Alexandria.

a b c (Å): 2.8400 4.0298 4.6037
angles (deg): 90.00 90.00 90.00
Space group Pmmm (No. 47)
Inequivalent atoms, fractional coordinates:
Fe: 0.0000 0.0000 0.0000 (multiplicity 1)
Cu: 0.0000 0.5000 0.5000 (multiplicity 1)
Cu: 0.5000 0.0000 0.5000 (multiplicity 1)
Cl: 0.5000 0.5000 0.0000 (multiplicity 1)

Results
Theoretical density (Mg/m³): 6.9
Calculated volume (Å³/atom): 13.172



#two
First-principles (SCAN) data for a crystal of FeCu2Cl relaxed with PBEsol, as listed in Alexandria.

a b c (Å): 2.8636 2.8636 6.5165
angles (deg): 90.00 90.00 90.00
Space group P4/mmm (No. 123)
Inequivalent atoms, fractional coordinates:
Fe: 0.0000 0.0000 0.0000 (multiplicity 1)
Cu: 0.5000 0.5000 0.2330 (multiplicity 2)
Cl: 0.0000 0.0000 0.5000 (multiplicity 1)

Results
Theoretical density (Mg/m³): 6.8
Calculated volume (Å³/atom): 13.359



Relative to the most stable one, in eV/atom, the structures come out at #one 0.183; #two 0.000.